(1)
Crystalline Cs2CrSeBr6 at its relaxed geometry. Source: Alexandria via LeMat-Bulk, functional GGA-PBE.

## Properties
M_tot: 4.835 μB/f.u.

a b c (Å): 8.205 8.205 7.849
angles (deg): 58.49 58.49 90.00
Atoms (fractional coordinates):
1 Cs 0.750 0.250 0.500
2 Cs 0.250 0.750 0.500
3 Cr 0.500 0.500 0.000
4 Se 0.000 0.000 0.000
5 Br 0.245 0.245 0.511
6 Br 0.755 0.755 0.489
7 Br 0.282 0.282 0.000
8 Br 0.718 0.718 0.000
9 Br 0.718 0.282 0.000
10 Br 0.282 0.718 0.000

=====

(2)
Crystalline Cs2CrSiBr6 at its relaxed geometry. Source: Alexandria via LeMat-Bulk, functional GGA-PBE.

## Properties
M_tot: 4.000 μB/f.u.

a b c (Å): 7.685 7.685 7.689
angles (deg): 60.02 60.02 90.00
Atoms (fractional coordinates):
1 Cs 0.750 0.250 0.500
2 Cs 0.250 0.750 0.500
3 Cr 0.000 0.000 0.000
4 Si 0.500 0.500 0.000
5 Br 0.246 0.246 0.507
6 Br 0.754 0.754 0.493
7 Br 0.246 0.246 0.000
8 Br 0.754 0.754 0.000
9 Br 0.754 0.246 0.000
10 Br 0.246 0.754 0.000

=====

(3)
Crystalline CsCrSn2Br at its relaxed geometry. Source: Alexandria via LeMat-Bulk, functional GGA-PBE.

## Properties
M_tot: 2.454 μB/f.u.

a b c (Å): 5.106 7.522 5.106
angles (deg): 90.00 90.00 90.00
Atoms (fractional coordinates):
1 Cs 0.000 0.500 0.000
2 Cr 0.000 0.000 0.000
3 Sn 0.000 0.000 0.500
4 Sn 0.500 0.000 0.000
5 Br 0.500 0.500 0.500

=====

(4)
Crystalline CsCrSn2Br8 at its relaxed geometry. Source: Alexandria via LeMat-Bulk, functional GGA-PBE.

## Properties
M_tot: 2.978 μB/f.u.

a b c (Å): 7.369 7.561 9.705
angles (deg): 56.75 90.92 87.84
Atoms (fractional coordinates):
1 Cs 0.000 0.000 0.500
2 Cr 0.000 0.000 0.000
3 Sn 0.554 0.244 0.760
4 Sn 0.446 0.756 0.240
5 Br 0.068 0.651 0.274
6 Br 0.769 0.835 0.914
7 Br 0.751 0.100 0.125
8 Br 0.932 0.349 0.726
9 Br 0.231 0.165 0.086
10 Br 0.249 0.900 0.875
11 Br 0.458 0.725 0.539
12 Br 0.542 0.275 0.461

=====

no.,total DFT energy (no corrections) (eV per atom),formation energy (no corrections) (meV/atom)
1,-3.397,-911.4
2,-3.690,-1011.1
3,-4.092,-60.5
4,-3.616,-960.2